# 1
Here is crystalline CoAu3 at its relaxed geometry from Alexandria. Energies are from PBEsol.

Geometry as CIF:
```
data_CoAu3
_space_group_name_H-M_alt 'P m m 2'
_space_group_IT_number 25
_cell_length_a 2.7810
_cell_length_b 4.6145
_cell_length_c 4.8512
_cell_angle_alpha 90.00
_cell_angle_beta 90.00
_cell_angle_gamma 90.00
loop_
_space_group_symop_operation_xyz
'x,y,z'
'-x,-y,z'
'-x,y,z'
'x,-y,z'
loop_
_atom_site_label
_atom_site_fract_x
_atom_site_fract_y
_atom_site_fract_z
Co1 0.0000 0.0000 0.0000
Au1 0.0000 0.5000 0.6773
Au2 0.5000 0.0000 0.4963
Au3 0.5000 0.5000 0.1636
```

The value obtained for the total energy is -18.6 eV per cell.

---

# 2
Here is crystalline Co2Au at its relaxed geometry from Alexandria. Energies are from PBEsol.

Geometry as CIF:
```
data_Co2Au
_space_group_name_H-M_alt 'C 1 m 1'
_space_group_IT_number 8
_cell_length_a 9.5909
_cell_length_b 2.6937
_cell_length_c 6.1447
_cell_angle_alpha 90.00
_cell_angle_beta 104.57
_cell_angle_gamma 90.00
loop_
_space_group_symop_operation_xyz
'x,y,z'
'x,-y,z'
'x+1/2,y+1/2,z'
'x+1/2,-y+1/2,z'
loop_
_atom_site_label
_atom_site_fract_x
_atom_site_fract_y
_atom_site_fract_z
Co1 0.0000 0.0000 0.0000
Co2 0.0560 0.0000 0.6220
Co3 0.2100 0.5000 0.9406
Co4 0.3832 0.0000 0.2451
Au1 0.1587 0.5000 0.3261
Au2 0.3396 0.0000 0.6796
```

The value obtained for the total energy is -74.5 eV per cell.

---

# 3
Here is crystalline Co2Au at its relaxed geometry from Alexandria. Energies are from PBEsol.

Geometry as CIF:
```
data_Co2Au
_space_group_name_H-M_alt 'I 41/a m d'
_space_group_IT_number 141
_cell_length_a 3.4054
_cell_length_b 3.4054
_cell_length_c 14.3151
_cell_angle_alpha 90.00
_cell_angle_beta 90.00
_cell_angle_gamma 90.00
loop_
_space_group_symop_operation_xyz
'x,y,z'
'-x,-y,-z'
'-y+1/4,x+3/4,z+1/4'
'y+1/4,-x+3/4,-z+1/4'
'-x+1/2,-y,z+1/2'
'x+1/2,y,-z+1/2'
'y+1/4,-x+1/4,z+3/4'
'-y+1/4,x+1/4,-z+3/4'
'x,-y,-z'
'-x,y,z'
'-y+1/4,-x+1/4,-z+3/4'
'y+1/4,x+1/4,z+3/4'
'-x+1/2,y,-z+1/2'
'x+1/2,-y,z+1/2'
'y+1/4,x+3/4,-z+1/4'
'-y+1/4,-x+3/4,z+1/4'
'x+1/2,y+1/2,z+1/2'
'-x+1/2,-y+1/2,-z+1/2'
'-y+3/4,x+1/4,z+3/4'
'y+3/4,-x+1/4,-z+3/4'
'-x,-y+1/2,z'
'x,y+1/2,-z'
'y+3/4,-x+3/4,z+1/4'
'-y+3/4,x+3/4,-z+1/4'
'x+1/2,-y+1/2,-z+1/2'
'-x+1/2,y+1/2,z+1/2'
'-y+3/4,-x+3/4,-z+1/4'
'y+3/4,x+3/4,z+1/4'
'-x,y+1/2,-z'
'x,-y+1/2,z'
'y+3/4,x+1/4,-z+3/4'
'-y+3/4,-x+1/4,z+3/4'
loop_
_atom_site_label
_atom_site_fract_x
_atom_site_fract_y
_atom_site_fract_z
Co1 0.0000 0.2500 0.2963
Au1 0.0000 0.2500 0.8750
```

The value obtained for the total energy is -71.2 eV per cell.

---

# 4
Here is crystalline CoAu at its relaxed geometry from Alexandria. Energies are from PBEsol.

Geometry as CIF:
```
data_CoAu
_space_group_name_H-M_alt 'I 41/a m d'
_space_group_IT_number 141
_cell_length_a 3.7641
_cell_length_b 3.7641
_cell_length_c 7.7714
_cell_angle_alpha 90.00
_cell_angle_beta 90.00
_cell_angle_gamma 90.00
loop_
_space_group_symop_operation_xyz
'x,y,z'
'-x,-y,-z'
'-y+1/4,x+3/4,z+1/4'
'y+1/4,-x+3/4,-z+1/4'
'-x+1/2,-y,z+1/2'
'x+1/2,y,-z+1/2'
'y+1/4,-x+1/4,z+3/4'
'-y+1/4,x+1/4,-z+3/4'
'x,-y,-z'
'-x,y,z'
'-y+1/4,-x+1/4,-z+3/4'
'y+1/4,x+1/4,z+3/4'
'-x+1/2,y,-z+1/2'
'x+1/2,-y,z+1/2'
'y+1/4,x+3/4,-z+1/4'
'-y+1/4,-x+3/4,z+1/4'
'x+1/2,y+1/2,z+1/2'
'-x+1/2,-y+1/2,-z+1/2'
'-y+3/4,x+1/4,z+3/4'
'y+3/4,-x+1/4,-z+3/4'
'-x,-y+1/2,z'
'x,y+1/2,-z'
'y+3/4,-x+3/4,z+1/4'
'-y+3/4,x+3/4,-z+1/4'
'x+1/2,-y+1/2,-z+1/2'
'-x+1/2,y+1/2,z+1/2'
'-y+3/4,-x+3/4,-z+1/4'
'y+3/4,x+3/4,z+1/4'
'-x,y+1/2,-z'
'x,-y+1/2,z'
'y+3/4,x+1/4,-z+3/4'
'-y+3/4,-x+1/4,z+3/4'
loop_
_atom_site_label
_atom_site_fract_x
_atom_site_fract_y
_atom_site_fract_z
Co1 0.0000 0.2500 0.3750
Au1 0.0000 0.2500 0.8750
```

The value obtained for the total energy is -44.8 eV per cell.

---

# 5
Here is crystalline Co2Au at its relaxed geometry from Alexandria. Energies are from PBEsol.

Geometry as CIF:
```
data_Co2Au
_space_group_name_H-M_alt 'P 4/m m m'
_space_group_IT_number 123
_space_group_name_Hall '-P 4 2'
_cell_length_a 3.2271
_cell_length_b 3.2271
_cell_length_c 4.1355
_cell_angle_alpha 90.00
_cell_angle_beta 90.00
_cell_angle_gamma 90.00
loop_
_atom_site_label
_atom_site_fract_x
_atom_site_fract_y
_atom_site_fract_z
Co1 0.0000 0.5000 0.0000
Au1 0.0000 0.0000 0.5000
```

The value obtained for the total energy is -17.8 eV per cell.

---

# 6
Here is crystalline CrCoAu2 at its relaxed geometry from Alexandria. Energies are from PBEsol.

Geometry as CIF:
```
data_CrCoAu2
_space_group_name_H-M_alt 'P 4/m m m'
_space_group_IT_number 123
_space_group_name_Hall '-P 4 2'
_cell_length_a 3.8917
_cell_length_b 3.8917
_cell_length_c 3.7857
_cell_angle_alpha 90.00
_cell_angle_beta 90.00
_cell_angle_gamma 90.00
loop_
_atom_site_label
_atom_site_fract_x
_atom_site_fract_y
_atom_site_fract_z
Cr1 0.0000 0.0000 0.0000
Co1 0.5000 0.5000 0.0000
Au1 0.0000 0.5000 0.5000
```

The value obtained for the total energy is -24.7 eV per cell.

---

Values of energy of formation from the pure elements, in order: 0.23; 0.26; 0.53; 0.23; 0.52; 0.27, all in eV per atom.
Values of theoretical density, in order: 17.33; 13.61; 12.60; 15.44; 12.14; 14.62, all in Mg/m³.